--- P ---
This record from Alexandria via LeMat-Bulk describes CdTe2Cl after structural relaxation. The functional is GGA-PBE.

Cell and atoms, written as POSCAR:
```
CdTe2Cl
1.0
-2.0690 -2.6895 1.0669
1.4288 0.1909 3.2519
-6.3378 5.8441 2.4416
Te Cd Cl
2 1 1
Direct
0.0000 0.0000 0.0497
0.5000 0.5000 0.2665
0.0000 0.0000 0.5123
0.5000 0.5000 0.6715
```

Total magnetization   0.0 μB/f.u.
Volume   113.4 Å³/cell
Crystal system   tetragonal

---

--- Q ---
This record from Alexandria via LeMat-Bulk describes CdTe2Cl after structural relaxation. The functional is GGA-PBE.

Cell and atoms, written as POSCAR:
```
CdTe2Cl
1.0
-2.2777 3.3253 3.3178
-1.8798 4.5481 -1.7418
-5.1570 0.7816 -0.2167
Te Cd Cl
2 1 1
Direct
0.7500 0.7500 0.7500
0.2500 0.2500 0.2500
0.5000 0.5000 0.5000
0.0000 0.0000 0.0000
```

Total magnetization   0.0 μB/f.u.
Volume   100.6 Å³/cell
Crystal system   cubic

---

Comparing the structures above, P comes out on top by 0.178 eV/atom.